The following is a PBE calculation of a relaxed Ce6As3P2Se crystal, from the Alexandria database.

energy relative to the elements, uncorrected: -18.281 eV/f.u.
DFT total energy: -6.8447 eV per atom
space group: C2/m, No. 12
DOS at the Fermi energy: 31.04 states/eV/f.u.
calculated volume: 25.73 Å³ per atom

Cell: 9.333 9.333 8.354 Å, 102.89 102.89 25.84°
Sites, in units of the cell vectors:
Ce 0.003 0.003 0.255
Ce 0.331 0.331 0.422
Ce 0.332 0.332 0.909
Ce 0.668 0.668 0.091
Ce 0.669 0.669 0.578
Ce 0.997 0.997 0.745
As 0.165 0.165 0.833
As 0.500 0.500 0.500
As 0.835 0.835 0.167
P 0.167 0.167 0.333
P 0.833 0.833 0.667
Se 0.500 0.500 0.000